VASP calculation (PBE) on a relaxed structure of KBiMo3.

Geometry as POSCAR:
```
KBiMo3
1.0
-0.5884 4.1327 -3.3854
-5.3363 -0.6166 0.1747
-0.2540 3.3804 4.1708
K Mo Bi
1 3 1
direct
0.5000 0.5000 0.5000
0.0000 0.5000 0.0000
0.0000 0.0000 0.5000
0.5000 0.0000 0.0000
0.0000 0.0000 0.0000
```

Summary:
Total magnetization: 7.96 Bohr magnetons per cell
DFT formation energy: 11.763 eV per formula unit
Energy above the most stable polymorph in this dataset: 0.0 kJ per mole of atoms

VASP calculation (PBE) on a relaxed structure of LiPrGd2.

Geometry as POSCAR:
```
LiPrGd2
1.0
-0.0897 0.3134 -3.6906
5.2658 -2.2725 -0.3210
-2.2909 -5.2532 -0.3904
Pr Gd Li
1 2 1
direct
0.5000 0.5000 0.5000
0.0000 0.0000 0.5000
0.0000 0.5000 0.0000
0.5000 0.0000 0.0000
```

Summary:
Total magnetization: 15.40 Bohr magnetons per cell
DFT formation energy: 0.561 eV per formula unit
Energy above the most stable polymorph in this dataset: 7.6 kJ per mole of atoms

VASP calculation (PBE) on a relaxed structure of PuCdInCu.

Geometry as POSCAR:
```
PuCdInCu
1.0
4.9965 0.0000 0.0000
2.4983 4.3271 0.0000
2.4983 1.4424 4.0797
Cd In Cu Pu
1 1 1 1
direct
0.5000 0.5000 0.5000
0.2500 0.2500 0.2500
0.7500 0.7500 0.7500
0.0000 0.0000 0.0000
```

Summary:
Total magnetization: 5.65 Bohr magnetons per cell
DFT formation energy: 0.127 eV per formula unit

VASP calculation (PBE) on a relaxed structure of BeCd2Fe.

Geometry as POSCAR:
```
BeCd2Fe
1.0
-0.3885 -0.5668 2.8760
-1.4590 -2.4909 -0.6880
6.0421 -3.5702 0.1127
Be Fe Cd
1 1 2
direct
0.5000 0.5000 0.6803
0.0000 0.0000 0.5664
0.0000 0.0000 0.9573
0.5000 0.5000 0.2960
```

Summary:
Total magnetization: 1.59 Bohr magnetons per cell
DFT formation energy: 0.903 eV per formula unit

VASP calculation (PBE) on a relaxed structure of NbNiHg3.

Geometry as POSCAR:
```
NbNiHg3
1.0
-2.6086 3.8753 1.1111
0.9402 -0.7021 4.6562
3.9202 2.7470 -0.3773
Ni Nb Hg
1 1 3
direct
0.0000 0.0000 0.0000
0.5000 0.5000 0.5000
0.0000 0.5000 0.0000
0.0000 0.0000 0.5000
0.5000 0.0000 0.0000
```

Summary:
Total magnetization: 0.00 Bohr magnetons per cell
DFT formation energy: 4.301 eV per formula unit
Energy above the most stable polymorph in this dataset: 0.0 kJ per mole of atoms

VASP calculation (PBE) on a relaxed structure of CuTeNF2.

Geometry as POSCAR:
```
CuTeNF2
1.0
-2.8550 -1.9091 0.9918
0.4537 -2.1452 -2.8234
3.7192 -3.7652 3.4583
N Te Cu F
1 1 1 2
direct
0.0000 0.0000 0.5000
0.5000 0.5000 0.5000
0.0000 0.0000 0.0000
0.0000 0.5000 0.0000
0.5000 0.0000 0.0000
```

Summary:
Uncorrected formation energy: -14 kJ per mole of atoms
Total magnetization: 0.00 Bohr magnetons per cell
Energy above the most stable polymorph in this dataset: 0.0 kJ per mole of atoms

VASP calculation (PBE) on a relaxed structure of DyPuPa4.

Geometry as POSCAR:
```
DyPuPa4
1.0
6.0863 0.0000 0.0000
3.0432 5.2709 0.0000
3.0432 1.7570 4.9695
Pa Dy Pu
4 1 1
direct
0.6247 0.6247 0.1258
0.6247 0.1258 0.6247
0.6247 0.6247 0.6247
0.1258 0.6247 0.6247
0.2500 0.2500 0.2500
0.0000 0.0000 0.0000
```

Summary:
Total magnetization: 4.48 Bohr magnetons per cell
DFT formation energy: 1.562 eV per formula unit

VASP calculation (PBE) on a relaxed structure of MnSi2SN.

Geometry as POSCAR:
```
MnSi2SN
1.0
-2.5775 -1.7112 5.0263
2.4437 -1.3237 0.8025
4.0013 7.3257 -0.1009
Mn Si S N
2 4 2 2
direct
0.2356 0.0000 0.4671
0.2356 0.5000 0.9671
0.8785 0.0000 0.8381
0.8785 0.5000 0.3381
0.5972 0.0000 0.9633
0.5972 0.5000 0.4633
0.2661 0.0000 0.1905
0.2661 0.5000 0.6905
0.6598 0.0000 0.6000
0.6598 0.5000 0.1000
```

Summary:
Uncorrected formation energy: -29 kJ per mole of atoms
Total magnetization: 0.83 Bohr magnetons per cell
Energy above the most stable polymorph in this dataset: 15.5 kJ per mole of atoms

VASP calculation (PBE) on a relaxed structure of CdIr3.

Geometry as POSCAR:
```
CdIr3
1.0
-2.4625 1.2945 -0.2486
0.4776 -2.3726 -1.3943
-4.2633 -3.6479 7.5446
Ir Cd
3 1
direct
0.7549 0.2451 0.7353
0.5000 0.5000 0.5000
0.2451 0.7549 0.2647
0.0000 0.0000 0.0000
```

Summary:
Total magnetization: 0.00 Bohr magnetons per cell
DFT formation energy: 0.565 eV per formula unit

VASP calculation (PBE) on a relaxed structure of CoSnBIr2.

Geometry as POSCAR:
```
CoSnBIr2
1.0
4.1555 0.0000 0.0000
0.0000 4.1555 0.0000
0.0000 0.0000 3.9889
B Ir Co Sn
1 2 1 1
direct
0.0000 0.0000 0.0000
0.0000 0.5000 0.0000
0.5000 0.0000 0.0000
0.0000 0.0000 0.5000
0.5000 0.5000 0.5000
```

Summary:
Total magnetization: 0.52 Bohr magnetons per cell
DFT formation energy: -0.232 eV per formula unit

VASP calculation (PBE) on a relaxed structure of NbZnNi.

Geometry as POSCAR:
```
NbZnNi
1.0
4.3574 0.0000 0.0000
-2.1787 3.7737 0.0000
0.0000 0.0000 5.2634
Nb Zn Ni
2 2 2
direct
0.3333 0.6667 0.2500
0.6667 0.3333 0.7500
0.0000 0.0000 0.0000
0.0000 0.0000 0.5000
0.3333 0.6667 0.7500
0.6667 0.3333 0.2500
```

Summary:
Total magnetization: 0.00 Bohr magnetons per cell
DFT formation energy: -0.529 eV per formula unit

VASP calculation (PBE) on a relaxed structure of CdPb2Au.

Geometry as POSCAR:
```
CdPb2Au
1.0
5.6789 -0.0898 0.0000
1.8304 5.3766 0.0000
-3.7546 -2.6434 3.3426
Pb Au Cd
2 1 1
direct
0.0000 0.0000 0.0000
0.2500 0.7500 0.5000
0.5000 0.5000 0.0000
0.7500 0.2500 0.5000
```

Summary:
Total magnetization: 0.00 Bohr magnetons per cell
DFT formation energy: 0.155 eV per formula unit

Question: Which value of total magnetization does entry 8 give?
Answer: 0.83 Bohr magnetons per cell

Question: Look up the total magnetization of the eleventh one.
Answer: 0.00 Bohr magnetons per cell